1.
# CaPr6Nd2 GGA-PBE relaxed
# Calculated formation energy ... 0.75 eV per formula unit
# D(E_F) ... 1.53 states/eV per atom
# Excess energy over the best structure of this formula in the dataset ... 0.000 eV/atom
data_CaPr6Nd2
_chemical_formula_sum 'Ca4 Pr24 Nd8'
_cell_length_a 22.499
_cell_length_b 10.127
_cell_length_c 5.950
_cell_angle_alpha 90.00
_cell_angle_beta 105.29
_cell_angle_gamma 90.00
_space_group_name_H-M_alt 'C 1 2/c 1'
_space_group_IT_number 15
loop_
_space_group_symop_operation_xyz
'x,y,z'
'-x,-y,-z'
'-x,y,-z+1/2'
'x,-y,z+1/2'
'x+1/2,y+1/2,z'
'-x+1/2,-y+1/2,-z'
'-x+1/2,y+1/2,-z+1/2'
'x+1/2,-y+1/2,z+1/2'
loop_
_atom_site_label
_atom_site_fract_x
_atom_site_fract_y
_atom_site_fract_z
Ca1 0.000 0.247 0.250
Pr1 0.084 0.087 0.813
Pr2 0.084 0.423 0.867
Pr3 0.170 0.248 0.420
Nd1 0.249 0.418 0.982

---

2.
# Cs2RhF7 GGA-PBE relaxed
# Formation energy without anion corrections ... -1954.7 meV per atom
# D(E_F) ... 1.82 states/eV per atom
# Excess energy over the best structure of this formula in the dataset ... 0.031 eV/atom
data_Cs2RhF7
_chemical_formula_sum 'Cs8 Rh4 F28'
_cell_length_a 9.376
_cell_length_b 9.376
_cell_length_c 9.376
_cell_angle_alpha 90.00
_cell_angle_beta 90.00
_cell_angle_gamma 90.00
_space_group_name_H-M_alt 'F m -3 m'
_space_group_IT_number 225
_space_group_name_Hall '-F 4 2 3'
loop_
_atom_site_label
_atom_site_fract_x
_atom_site_fract_y
_atom_site_fract_z
Cs1 0.250 0.250 0.250
Rh1 0.000 0.000 0.000
F1 0.000 0.000 0.206
F2 0.000 0.000 0.500

---

3.
# TbSm2Au6 GGA-PBE relaxed
# Calculated formation energy ... -6.86 eV per formula unit
# D(E_F) ... 0.55 states/eV per atom
data_TbSm2Au6
_chemical_formula_sum 'Tb2 Sm4 Au12'
_cell_length_a 5.327
_cell_length_b 16.457
_cell_length_c 5.280
_cell_angle_alpha 90.00
_cell_angle_beta 119.57
_cell_angle_gamma 90.00
_space_group_name_H-M_alt 'C 1 2/m 1'
_space_group_IT_number 12
loop_
_space_group_symop_operation_xyz
'x,y,z'
'-x,-y,-z'
'-x,y,-z'
'x,-y,z'
'x+1/2,y+1/2,z'
'-x+1/2,-y+1/2,-z'
'-x+1/2,y+1/2,-z'
'x+1/2,-y+1/2,z'
loop_
_atom_site_label
_atom_site_fract_x
_atom_site_fract_y
_atom_site_fract_z
Tb1 0.000 0.000 0.000
Sm1 0.000 0.335 0.500
Au1 0.157 0.500 0.326
Au2 0.163 0.164 0.833

---

4.
# KRbPtS2 GGA-PBE relaxed
# Formation energy without anion corrections ... -795.8 meV per atom
data_KRbPtS2
_chemical_formula_sum 'K2 Rb2 Pt2 S4'
_cell_length_a 7.113
_cell_length_b 7.938
_cell_length_c 5.634
_cell_angle_alpha 90.00
_cell_angle_beta 90.00
_cell_angle_gamma 90.00
_space_group_name_H-M_alt 'P m m a'
_space_group_IT_number 51
loop_
_space_group_symop_operation_xyz
'x,y,z'
'-x,-y,-z'
'-x+1/2,-y,z'
'x+1/2,y,-z'
'x+1/2,-y,-z'
'-x+1/2,y,z'
'-x,y,-z'
'x,-y,z'
loop_
_atom_site_label
_atom_site_fract_x
_atom_site_fract_y
_atom_site_fract_z
K1 0.250 0.000 0.034
Rb1 0.250 0.500 0.195
Pt1 0.000 0.000 0.500
S1 0.250 0.197 0.565

---

5.
# CrCd2PRh GGA-PBE relaxed
# Calculated formation energy ... 5.58 eV per formula unit
# D(E_F) ... 0.82 states/eV per atom
data_CrCd2PRh
_chemical_formula_sum 'Cr1 Cd2 P1 Rh1'
_cell_length_a 5.098
_cell_length_b 5.098
_cell_length_c 4.408
_cell_angle_alpha 90.00
_cell_angle_beta 90.00
_cell_angle_gamma 90.00
_space_group_name_H-M_alt 'P 4/m m m'
_space_group_IT_number 123
_space_group_name_Hall '-P 4 2'
loop_
_atom_site_label
_atom_site_fract_x
_atom_site_fract_y
_atom_site_fract_z
Cr1 0.000 0.000 0.000
Cd1 0.000 0.500 0.000
P1 0.500 0.500 0.500
Rh1 0.000 0.000 0.500

---

6.
# Ba3Cr5N12 GGA-PBE relaxed
# Formation energy without anion corrections ... -172.6 meV per atom
# D(E_F) ... 0.34 states/eV per atom
data_Ba3Cr5N12
_chemical_formula_sum 'Ba24 Cr40 N96'
_cell_length_a 13.002
_cell_length_b 13.002
_cell_length_c 13.002
_cell_angle_alpha 90.00
_cell_angle_beta 90.00
_cell_angle_gamma 90.00
_space_group_name_H-M_alt 'I a -3 d'
_space_group_IT_number 230
_space_group_name_Hall '-I 4bd 2c 3'
loop_
_atom_site_label
_atom_site_fract_x
_atom_site_fract_y
_atom_site_fract_z
Ba1 0.000 0.250 0.125
Cr1 0.000 0.000 0.000
Cr2 0.000 0.250 0.375
N1 0.028 0.144 0.954

---

7.
# ScCo2Re GGA-PBE relaxed
# Calculated formation energy ... 0.52 eV per formula unit
# D(E_F) ... 1.17 states/eV per atom
# Excess energy over the best structure of this formula in the dataset ... 0.213 eV/atom
data_ScCo2Re
_chemical_formula_sum 'Sc2 Co4 Re2'
_cell_length_a 3.665
_cell_length_b 3.665
_cell_length_c 8.157
_cell_angle_alpha 90.00
_cell_angle_beta 90.00
_cell_angle_gamma 90.00
_space_group_name_H-M_alt 'I -4 m 2'
_space_group_IT_number 119
_space_group_name_Hall 'I -4 -2'
loop_
_atom_site_label
_atom_site_fract_x
_atom_site_fract_y
_atom_site_fract_z
Sc1 0.000 0.000 0.000
Co1 0.000 0.000 0.500
Co2 0.000 0.500 0.750
Re1 0.000 0.500 0.250

---

8.
# As4P5 GGA-PBE relaxed
# Calculated formation energy ... 3.81 eV per formula unit
# D(E_F) ... 0.46 states/eV per atom
# Excess energy over the best structure of this formula in the dataset ... 0.000 eV/atom
data_As4P5
_chemical_formula_sum 'As8 P10'
_cell_length_a 10.729
_cell_length_b 10.729
_cell_length_c 3.244
_cell_angle_alpha 90.00
_cell_angle_beta 90.00
_cell_angle_gamma 90.00
_space_group_name_H-M_alt 'I 4/m m m'
_space_group_IT_number 139
_space_group_name_Hall '-I 4 2'
loop_
_atom_site_label
_atom_site_fract_x
_atom_site_fract_y
_atom_site_fract_z
As1 0.000 0.230 0.000
P1 0.000 0.000 0.000
P2 0.191 0.191 0.500